A geometry-optimized Hg2MoPbO6 structure, computed with PBE+U.

Structure (extended XYZ):
```
10
Lattice="2.950 1.703 5.143 -2.950 1.703 5.143 0.000 -3.406 5.143" Properties=species:S:1:pos:R:3 pbc="T T T"
Hg 0.000 0.000 0.000
Hg 0.000 0.000 7.174
Mo 0.000 0.000 3.811
Pb 0.000 0.000 11.405
O -1.565 -0.030 5.270
O -0.840 -2.014 8.097
O 0.808 -1.340 5.270
O -1.324 1.734 8.097
O 0.757 1.370 5.270
O 2.164 0.279 8.097
```

As for the final energy: -5.0382 eV/atom. The space group is No. 146. As for the total magnetic moment: 0.000 μB/atom.

=====

A geometry-optimized HgMo2PdO8 structure, computed with PBE+U.

Structure (extended XYZ):
```
12
Lattice="-3.543 3.543 3.622 3.543 -3.543 3.622 3.543 3.543 -3.622" Properties=species:S:1:pos:R:3 pbc="T T T"
Hg 0.000 0.000 0.000
Mo 3.543 0.000 1.811
Mo 0.000 0.000 3.622
Pd 0.000 3.543 1.811
O 2.115 0.000 0.732
O 4.972 0.000 0.732
O 3.543 2.086 -1.075
O 3.543 -1.429 2.890
O 0.000 1.457 2.547
O 3.543 1.429 2.890
O 2.086 3.543 1.075
O 1.457 0.000 4.697
```

As for the final energy: -5.8838 eV/atom. The space group is No. 119. As for the total magnetic moment: 0.169 μB/atom.

=====

A geometry-optimized Pm2HgMoO8 structure, computed with PBE+U.

Structure (extended XYZ):
```
12
Lattice="4.579 0.000 0.000 0.467 5.153 0.000 0.057 0.619 7.232" Properties=species:S:1:pos:R:3 pbc="T T T"
Pm 0.694 2.654 1.886
Pm 4.409 3.118 5.346
Hg 2.290 0.000 0.000
Mo 2.318 0.309 3.616
O 0.886 1.513 3.944
O 1.174 2.259 7.069
O 1.837 4.815 1.869
O 2.042 4.102 4.721
O 3.062 1.670 2.511
O 3.266 0.957 5.363
O 3.930 3.513 0.163
O 4.218 4.259 3.287
```

As for the final energy: -6.6031 eV/atom. The space group is No. 2. As for the total magnetic moment: 0.000 μB/atom.

=====

total magnetic moment of number 3 (Pm2HgMoO8)? 0.000 μB/atom

=====

Copy entry 1 word for word.
A geometry-optimized Hg2MoPbO6 structure, computed with PBE+U.

Structure (extended XYZ):
```
10
Lattice="2.950 1.703 5.143 -2.950 1.703 5.143 0.000 -3.406 5.143" Properties=species:S:1:pos:R:3 pbc="T T T"
Hg 0.000 0.000 0.000
Hg 0.000 0.000 7.174
Mo 0.000 0.000 3.811
Pb 0.000 0.000 11.405
O -1.565 -0.030 5.270
O -0.840 -2.014 8.097
O 0.808 -1.340 5.270
O -1.324 1.734 8.097
O 0.757 1.370 5.270
O 2.164 0.279 8.097
```

As for the final energy: -5.0382 eV/atom. The space group is No. 146. As for the total magnetic moment: 0.000 μB/atom.

=====

final energy of number 3 (Pm2HgMoO8)? -6.6031 eV/atom